# K2H2WO6, relaxed, DFT PBE with a Hubbard U
data_K2H2WO6
_chemical_formula_sum 'K2 H2 W1 O6'
_cell_length_a 5.175
_cell_length_b 5.175
_cell_length_c 5.986
_cell_angle_alpha 90.00
_cell_angle_beta 90.00
_cell_angle_gamma 120.00
_space_group_name_H-M_alt 'P 1'
_space_group_IT_number 1
_space_group_name_Hall 'P 1'
loop_
_atom_site_label
_atom_site_type_symbol
_atom_site_fract_x
_atom_site_fract_y
_atom_site_fract_z
_atom_site_occupancy
O1 O 0.649 0.824 0.808 1
O2 O 0.824 0.176 0.192 1
O3 O 0.824 0.649 0.192 1
K1 K 0.333 0.667 0.359 1
O4 O 0.176 0.824 0.808 1
W1 W 0.000 0.000 0.000 1
K2 K 0.667 0.333 0.641 1
H1 H 0.333 0.667 0.822 1
H2 H 0.667 0.333 0.178 1
O5 O 0.351 0.176 0.192 1
O6 O 0.176 0.351 0.808 1
# Calculated total energy, eV/atom: -5.344
# Total moment, μB/atom: 0.18